Entry 1:
Entry from the Alexandria database: crystalline SrAlVO5 at its relaxed geometry (PBE+U).

Lattice parameters (Å, degrees): 6.8821 9.1729 6.9396 90.00 111.43 90.00
Last column: nearest neighbours and their distance in Å.
Space group C2/c (No. 15)
One atom of each set of equivalent atoms:
Sr 0.0000 0.1770 0.2500 x4  7 O 2.45-2.67
Al 0.0000 0.5000 0.0000 x4  4 O 1.81-2.01
V 0.0000 0.1851 0.7500 x4  4 O 1.74-1.75
O 0.0000 0.4437 0.2500 x4  2 Al 1.81
O 0.0998 0.2987 0.6051 x8  1 V 1.75
O 0.1894 0.0715 0.9157 x8  1 V 1.74

* crystal system: monoclinic

=====

Entry 2:
Entry from the Alexandria database: crystalline Sr3Al2VO8 at its relaxed geometry (PBE+U).

Lattice parameters (Å, degrees): 5.5181 5.5181 7.0619 90.00 90.00 120.00
Last column: nearest neighbours and their distance in Å.
Space group P-3m1 (No. 164)
One atom of each set of equivalent atoms:
Sr 0.0000 0.0000 0.0000 x1  6 O 2.83
Sr 0.3333 0.6667 0.6544 x2  1 O 2.29
Al 0.3333 0.6667 0.2193 x2  4 O 1.70-1.80
V 0.0000 0.0000 0.5000 x1  6 O 1.97
O 0.1651 0.3301 0.3324 x6  1 Al 1.80, 1 V 1.97
O 0.3333 0.6667 0.9783 x2  1 Al 1.70

* crystal system: trigonal

=====

Entry 3:
Entry from the Alexandria database: crystalline SrAlWO6 at its relaxed geometry (PBE+U).

Lattice parameters (Å, degrees): 5.1599 5.1599 5.4072 90.00 90.00 120.00
Last column: nearest neighbours and their distance in Å.
Space group P312 (No. 149)
One atom of each set of equivalent atoms:
Sr 0.0000 0.0000 0.0000 x1  6 O 2.55
Al 0.3333 0.6667 0.5000 x1  6 O 1.93
W 0.6667 0.3333 0.5000 x1  6 O 1.95
O 0.0037 0.3809 0.6981 x6  1 Al 1.93, 1 W 1.95

* crystal system: trigonal

=====

Number 1: D(E_F) 0.00 states/eV per atom, ρ 4.00 g/cm3, raw total energy -7.277 eV/atom. Number 2: D(E_F) 0.27 states/eV per atom, ρ 4.42 g/cm3, raw total energy -6.973 eV/atom. Number 3: D(E_F) 0.87 states/eV per atom, ρ 5.25 g/cm3, raw total energy -7.055 eV/atom.